(1)
VASP calculation (PBE) on a geometry-optimized LiZr2CdSn structure.

a = 5.396 Å, b = 5.396 Å, c = 4.666 Å
α = 90.00°, β = 90.00°, γ = 90.00°
Positions (direct):
1 Li 0.000 0.000 0.000
2 Zr 0.000 0.500 0.500
3 Zr 0.500 0.000 0.500
4 Cd 0.500 0.500 0.000
5 Sn 0.000 0.000 0.500

Results
Symmetry = P4/mmm, No. 123
Energy of formation = 532 meV per atom
E = -21.27 eV per cell


(2)
VASP calculation (PBE) on a geometry-optimized Ca2LaAl2Sb4 structure.

a = 8.292 Å, b = 8.292 Å, c = 7.811 Å
α = 106.22°, β = 106.22°, γ = 31.05°
Positions (direct):
1 Ca 0.127 0.127 0.056
2 Ca 0.873 0.873 0.944
3 La 0.000 0.000 0.500
4 Al 0.330 0.330 0.507
5 Al 0.670 0.670 0.493
6 Sb 0.216 0.216 0.719
7 Sb 0.483 0.483 0.787
8 Sb 0.517 0.517 0.213
9 Sb 0.784 0.784 0.281

Results
Symmetry = C2/m, No. 12
E = -38.73 eV per cell
Energy relative to the elements, uncorrected = -0.647 eV/atom